A plane-wave DFT calculation with meta-GGA SCAN was carried out for a crystal of CsNaCu2O relaxed with PBEsol.

Unit cell a=5.439 b=5.439 c=9.558 alpha=90.00 beta=90.00 gamma=90.00
Sites, in units of the cell vectors:
O 0.500 0.500 0.500
Cu 0.000 0.500 0.000
Cu 0.500 0.000 0.000
Na 0.000 0.000 0.500
Cs 0.000 0.000 0.000

**Size of the total moment**: 0.993 μB per cell
**Raw formation energy**: 1.520 eV/atom
**Uncorrected energy**: -14.21 eV/atom
**Crystal system**: tetragonal